Compound: Hf4CuSi4
Source: Alexandria via LeMat-Bulk
Functional: SCAN
Structure: PBEsol geometry

Unit cell a=9.6392 b=3.7132 c=8.5871 alpha=90.00 beta=109.73 gamma=90.00
Last column: nearest neighbours and their distance in Å.
Space group C2/m (No. 12)
One atom of each set of equivalent atoms:
Hf: 0.1081 0.0000 0.3802  7 Si 2.65-2.85
Hf: 0.2459 0.0000 0.8424  6 Si 2.69-2.78, 2 Cu 3.01
Cu: 0.0000 0.0000 0.0000  4 Si 2.35
Si: 0.0372 0.5000 0.8509  2 Cu 2.35, 1 Si 2.40
Si: 0.1148 0.5000 0.6134  2 Si 2.40, 1 Hf 2.65

Values from the calculation:
energy relative to the elements, uncorrected = -0.7654 eV/atom

---

Compound: TlPtS2Cl
Source: Alexandria via LeMat-Bulk
Functional: SCAN
Structure: PBEsol geometry

Unit cell a=4.6789 b=4.6789 c=4.9623 alpha=90.00 beta=90.00 gamma=90.00
Last column: nearest neighbours and their distance in Å.
Space group P4/mmm (No. 123)
One atom of each set of equivalent atoms:
Tl: 0.0000 0.0000 0.0000  4 Cl 3.31, 8 S 3.41
Pt: 0.5000 0.5000 0.5000  4 S 2.34, 2 Cl 2.48
S: 0.0000 0.5000 0.5000  2 Pt 2.34
Cl: 0.5000 0.5000 0.0000  2 Pt 2.48

Values from the calculation:
energy relative to the elements, uncorrected = -0.0619 eV/atom

---

Compound: BeFeIr2
Source: Alexandria via LeMat-Bulk
Functional: SCAN
Structure: PBEsol geometry

Unit cell a=4.0630 b=4.0630 c=2.8741 alpha=90.00 beta=90.00 gamma=90.00
Last column: nearest neighbours and their distance in Å.
Space group P4/mmm (No. 123)
One atom of each set of equivalent atoms:
Be: 0.0000 0.0000 0.0000  8 Ir 2.49
Fe: 0.5000 0.5000 0.0000  8 Ir 2.49
Ir: 0.0000 0.5000 0.5000  4 Fe 2.49, 4 Be 2.49

Values from the calculation:
formation energy = -1.73 eV/f.u.

---

Number 1: VASP energy -625.687 eV for the cell shown. Number 2: VASP energy -170.095 eV for the cell shown. Number 3: VASP energy -166.415 eV for the cell shown.